TlCuWF2 | PBE with a Hubbard U | optimized geometry

a b c (Å): 4.082 4.082 5.619
angles (deg): 90.00 90.00 90.00
Sites, in units of the cell vectors:
Tl 0.000 0.000 0.000
Cu 0.500 0.500 0.500
W 0.500 0.500 0.000
F 0.000 0.500 0.500
F 0.500 0.000 0.500

The calculation puts the total magnetization at 3.91 μB/f.u. The calculation puts the total energy at -3.67 eV/atom. The crystal system is tetragonal.